The following is a GGA-PBE calculation of a geometry-optimized CdGaHg14 structure, from the Alexandria database.

a = 9.1892 Å, b = 6.5533 Å, c = 14.4631 Å
α = 90.00°, β = 90.00°, γ = 90.00°
Closest atoms and distances in Å follow each position.
Space group Amm2 (No. 38)
Inequivalent atoms, fractional coordinates:
Cd 0.0000 0.0000 0.0000  8 Hg 3.08-3.33, 2 Ga 3.28
Ga 0.0000 0.0000 0.4940  8 Hg 2.98-3.26, 2 Cd 3.28
Hg 0.0000 0.2486 0.7993  8 Hg 3.11-3.34, 1 Ga 3.26, 1 Cd 3.33
Hg 0.2074 0.2470 0.6298  6 Hg 3.11-3.35, 1 Cd 3.15, 1 Ga 3.18
Hg 0.2799 0.0000 0.3897  1 Ga 2.98, 7 Hg 3.08-3.32
Hg 0.2848 0.0000 0.8875  1 Cd 3.08, 7 Hg 3.09-3.34
Hg 0.5000 0.0000 0.0520  10 Hg 3.09-3.35
Hg 0.5000 0.0000 0.5506  10 Hg 3.08-3.38
Hg 0.5000 0.2476 0.2545  10 Hg 3.22-3.38

---

The following is a GGA-PBE calculation of a geometry-optimized CdGa2Hg2 structure, from the Alexandria database.

distance to the lowest polymorph of the same formula	89	meV/atom

a = 4.4584 Å, b = 4.4584 Å, c = 12.2828 Å
α = 90.00°, β = 90.00°, γ = 90.00°
Closest atoms and distances in Å follow each position.
Space group I4/mmm (No. 139)
Inequivalent atoms, fractional coordinates:
Cd 0.0000 0.0000 0.0000  8 Ga 3.40, 8 Hg 3.79
Ga 0.0000 0.0000 0.3969  1 Ga 2.53
Hg 0.0000 0.5000 0.2500  4 Ga 2.87, 4 Hg 3.15

---

The following is a GGA-PBE calculation of a geometry-optimized Cd11GaHg17 structure, from the Alexandria database.

a = 11.8880 Å, b = 15.9156 Å, c = 9.4573 Å
α = 90.00°, β = 125.75°, γ = 90.00°
Closest atoms and distances in Å follow each position.
Space group Cm (No. 8)
Inequivalent atoms, fractional coordinates:
Cd 0.0000 0.0000 0.0000  1 Ga 3.03, 8 Hg 3.11-3.24, 2 Cd 3.29
Cd 0.0928 0.3045 0.3953  6 Hg 3.02-3.24, 3 Cd 3.03-3.14
Cd 0.0949 0.0993 0.7802  7 Hg 3.06-3.21, 3 Cd 3.16-3.29
Cd 0.1777 0.4030 0.1860  7 Hg 3.01-3.37, 3 Cd 3.09-3.14
Cd 0.3896 0.1872 0.0023  3 Cd 3.03-3.17, 6 Hg 3.04-3.14
Cd 0.4884 0.0982 0.5876  1 Ga 3.04, 7 Hg 3.04-3.23, 2 Cd 3.13-3.14
Ga 0.2185 0.0000 0.3909  5 Hg 2.98-3.03, 3 Cd 3.03-3.04
Hg 0.0010 0.5000 0.3082  4 Hg 3.04-3.26, 6 Cd 3.15-3.31
Hg 0.0902 0.2785 0.8947  5 Cd 3.04-3.40, 1 Hg 3.23
Hg 0.1944 0.5000 0.9182  5 Cd 3.04-3.24, 2 Hg 3.41
Hg 0.2456 0.1449 0.6076  1 Ga 2.98, 4 Cd 3.09-3.14, 1 Hg 3.26
Hg 0.2465 0.1301 0.1800  1 Ga 3.03, 4 Cd 3.13-3.23, 3 Hg 3.23-3.28
Hg 0.3030 0.3447 0.7759  4 Cd 3.02-3.21, 2 Hg 3.12-3.17
Hg 0.3128 0.5000 0.5825  4 Hg 3.04-3.14, 3 Cd 3.15-3.21
Hg 0.3742 0.0000 0.9067  6 Cd 3.09-3.35, 3 Hg 3.16-3.26
Hg 0.3877 0.2838 0.4642  5 Cd 3.01-3.19, 2 Hg 3.28-3.37
Hg 0.4525 0.3562 0.1831  4 Cd 3.04-3.37, 3 Hg 3.11-3.37
Hg 0.4851 0.5000 0.4271  1 Ga 2.99, 3 Hg 3.11-3.14, 2 Cd 3.20

---

The following is a GGA-PBE calculation of a geometry-optimized CdGa2Hg2 structure, from the Alexandria database.

distance to the lowest polymorph of the same formula	46	meV/atom

a = 3.8315 Å, b = 3.8315 Å, c = 16.2348 Å
α = 90.00°, β = 90.00°, γ = 90.00°
Closest atoms and distances in Å follow each position.
Space group I4/mmm (No. 139)
Inequivalent atoms, fractional coordinates:
Cd 0.0000 0.0000 0.0000  8 Hg 3.17
Ga 0.0000 0.5000 0.2500  4 Ga 2.71
Hg 0.0000 0.0000 0.3989  4 Ga 3.08, 4 Cd 3.17, 1 Hg 3.28

---

The following is a GGA-PBE calculation of a geometry-optimized Cd2GaHg2 structure, from the Alexandria database.

distance to the lowest polymorph of the same formula	0	meV/atom

a = 7.8240 Å, b = 7.8240 Å, c = 4.0387 Å
α = 90.00°, β = 90.00°, γ = 90.00°
Closest atoms and distances in Å follow each position.
Space group P4/mbm (No. 127)
Inequivalent atoms, fractional coordinates:
Cd 0.1356 0.3644 0.0000  6 Hg 2.95-3.14, 1 Cd 3.00, 2 Ga 3.04
Ga 0.0000 0.0000 0.0000  4 Cd 3.04
Hg 0.1696 0.6696 0.5000  6 Cd 2.95-3.14

---

The following is a GGA-PBE calculation of a geometry-optimized CdGaHg structure, from the Alexandria database.

distance to the lowest polymorph of the same formula	20	meV/atom

a = 3.1879 Å, b = 3.1879 Å, c = 13.3376 Å
α = 90.00°, β = 90.00°, γ = 90.00°
Closest atoms and distances in Å follow each position.
Space group I4mm (No. 107)
Inequivalent atoms, fractional coordinates:
Cd 0.0000 0.0000 0.0000  4 Ga 3.08, 4 Cd 3.19, 4 Hg 3.26
Ga 0.0000 0.0000 0.3425  4 Cd 3.08, 4 Hg 3.16, 4 Ga 3.19
Hg 0.0000 0.0000 0.6764  4 Ga 3.16, 4 Hg 3.19, 4 Cd 3.26

---

The following is a GGA-PBE calculation of a geometry-optimized Cd6Ga2Hg structure, from the Alexandria database.

distance to the lowest polymorph of the same formula	0	meV/atom

a = 5.5481 Å, b = 16.1057 Å, c = 5.0036 Å
α = 90.00°, β = 114.87°, γ = 90.00°
Closest atoms and distances in Å follow each position.
Space group C2/m (No. 12)
Inequivalent atoms, fractional coordinates:
Cd 0.1634 0.0000 0.3350  4 Cd 2.92-3.11, 2 Hg 2.99-3.05, 2 Ga 3.04
Cd 0.1667 0.3306 0.8286  3 Ga 2.95-3.08, 4 Cd 3.00-3.11, 1 Hg 3.11
Ga 0.0000 0.1658 0.5000  8 Cd 2.95-3.08
Hg 0.0000 0.5000 0.0000  10 Cd 2.99-3.34

---

The following is a GGA-PBE calculation of a geometry-optimized Cd3GaHg6 structure, from the Alexandria database.

distance to the lowest polymorph of the same formula	17	meV/atom

a = 11.8189 Å, b = 14.1519 Å, c = 6.6097 Å
α = 90.00°, β = 90.00°, γ = 90.00°
Closest atoms and distances in Å follow each position.
Space group Cmc2_1 (No. 36)
Inequivalent atoms, fractional coordinates:
Cd 0.0000 0.1435 0.0000  1 Ga 2.79, 5 Hg 2.93-3.08
Cd 0.1830 0.4133 0.9921  6 Hg 2.94-3.00, 1 Ga 3.19
Ga 0.0000 0.2981 0.7374  4 Hg 2.75-2.93, 1 Cd 2.79
Hg 0.0000 0.2863 0.3221  1 Ga 2.75, 1 Cd 2.93
Hg 0.0000 0.4977 0.7342  1 Ga 2.82, 4 Cd 2.97-3.00, 1 Hg 3.11
Hg 0.1334 0.9999 0.2439  4 Cd 2.98-3.08, 3 Hg 3.15-3.30
Hg 0.2377 0.2403 0.7563  1 Ga 2.93, 2 Cd 2.94-2.97, 1 Hg 3.15

---

The following is a GGA-PBE calculation of a geometry-optimized Cd4GaHg6 structure, from the Alexandria database.

a = 8.6248 Å, b = 8.6474 Å, c = 14.9797 Å
α = 90.00°, β = 90.00°, γ = 90.00°
Closest atoms and distances in Å follow each position.
Space group Fmm2 (No. 42)
Inequivalent atoms, fractional coordinates:
Cd 0.0000 0.1898 0.0000  7 Hg 3.03-3.27, 1 Ga 3.22, 1 Cd 3.28
Cd 0.1883 0.0000 0.7841  7 Hg 2.92-3.17, 1 Ga 2.96, 1 Cd 3.25
Ga 0.0000 0.0000 0.6188  6 Hg 2.87-3.08, 2 Cd 2.96
Hg 0.0000 0.1896 0.3072  5 Cd 3.07-3.17, 3 Hg 3.28-3.31
Hg 0.2100 0.0000 0.4699  1 Ga 2.87, 3 Cd 2.92-3.03
Hg 0.2500 0.2500 0.1432  4 Cd 3.07-3.09, 2 Ga 3.08, 4 Hg 3.31-3.40

---

The following is a GGA-PBE calculation of a geometry-optimized Cd5Ga3Hg3 structure, from the Alexandria database.

a = 8.4784 Å, b = 8.4784 Å, c = 5.3867 Å
α = 90.00°, β = 90.00°, γ = 120.00°
Closest atoms and distances in Å follow each position.
Space group P-62m (No. 189)
Inequivalent atoms, fractional coordinates:
Cd 0.0000 0.2993 0.0000  2 Ga 2.73, 2 Cd 2.98
Cd 0.3333 0.6667 0.0000  3 Ga 2.80, 3 Cd 2.98
Ga 0.0000 0.6597 0.0000  2 Hg 2.69, 4 Cd 2.73-2.80
Hg 0.0000 0.6581 0.5000  2 Ga 2.69

---

The following is a GGA-PBE calculation of a geometry-optimized Cd7Ga2Hg3 structure, from the Alexandria database.

a = 4.5113 Å, b = 28.2681 Å, c = 4.4680 Å
α = 90.00°, β = 90.00°, γ = 90.00°
Closest atoms and distances in Å follow each position.
Space group Cmmm (No. 65)
Inequivalent atoms, fractional coordinates:
Cd 0.0000 0.0000 0.0000  4 Hg 3.17, 8 Cd 3.23-3.24
Cd 0.0000 0.0829 0.5000  2 Ga 2.87, 4 Cd 3.17
Cd 0.0000 0.2081 0.5000  2 Ga 2.87, 4 Hg 3.17
Cd 0.0000 0.4183 0.0000  2 Ga 2.87, 4 Cd 3.17, 2 Hg 3.21
Ga 0.0000 0.3546 0.5000  6 Cd 2.87, 2 Hg 2.87
Hg 0.0000 0.2910 0.0000  2 Ga 2.87, 4 Cd 3.17
Hg 0.0000 0.5000 0.5000  12 Cd 3.17-3.25

---

The following is a GGA-PBE calculation of a geometry-optimized Cd5GaHg structure, from the Alexandria database.

distance to the lowest polymorph of the same formula	0	meV/atom

a = 8.7553 Å, b = 12.3401 Å, c = 7.5315 Å
α = 90.00°, β = 124.63°, γ = 90.00°
Closest atoms and distances in Å follow each position.
Space group C2/c (No. 15)
Inequivalent atoms, fractional coordinates:
Cd 0.0000 0.0647 0.2500  1 Hg 2.94, 2 Cd 2.94, 2 Ga 2.98
Cd 0.1189 0.3934 0.1537  1 Ga 2.80, 3 Cd 2.97-3.11, 1 Hg 3.10
Cd 0.2029 0.3783 0.8054  2 Hg 2.91-2.98, 5 Cd 2.94-3.15, 1 Ga 3.01
Ga 0.2500 0.2500 0.5000  6 Cd 2.80-3.01
Hg 0.0000 0.1732 0.7500  7 Cd 2.91-3.10

---

The following is a GGA-PBE calculation of a geometry-optimized Cd2GaHg structure, from the Alexandria database.

distance to the lowest polymorph of the same formula	35	meV/atom

a = 7.1538 Å, b = 7.1538 Å, c = 7.1538 Å
α = 90.00°, β = 90.00°, γ = 90.00°
Closest atoms and distances in Å follow each position.
Space group Fm-3m (No. 225)
Inequivalent atoms, fractional coordinates:
Cd 0.2500 0.2500 0.2500  4 Hg 3.10, 4 Ga 3.10
Ga 0.0000 0.0000 0.0000  8 Cd 3.10
Hg 0.0000 0.0000 0.5000  8 Cd 3.10

---

The following is a GGA-PBE calculation of a geometry-optimized CdGa2Hg2 structure, from the Alexandria database.

distance to the lowest polymorph of the same formula	0	meV/atom

a = 3.0615 Å, b = 3.3876 Å, c = 10.9519 Å
α = 84.71°, β = 83.00°, γ = 89.95°
Closest atoms and distances in Å follow each position.
Space group P-1 (No. 2)
Inequivalent atoms, fractional coordinates:
Cd 0.0000 0.0000 0.0000  4 Cd 3.06-3.39, 8 Hg 3.15-3.37
Ga 0.2122 0.2256 0.5840  6 Ga 2.91-3.06, 3 Hg 3.04-3.19
Hg 0.4053 0.3743 0.2146  4 Ga 3.04-3.28, 4 Hg 3.06-3.39, 4 Cd 3.15-3.37

---

The following is a GGA-PBE calculation of a geometry-optimized Cd12GaHg7 structure, from the Alexandria database.

distance to the lowest polymorph of the same formula	0	meV/atom

a = 11.5349 Å, b = 11.5349 Å, c = 12.5597 Å
α = 90.00°, β = 90.00°, γ = 120.00°
Closest atoms and distances in Å follow each position.
Space group R-3m (No. 166, hexagonal axes)
Inequivalent atoms, fractional coordinates:
Cd 0.0000 0.2662 0.0000  4 Hg 3.02-3.36, 6 Cd 3.07-3.19, 1 Ga 3.07
Cd 0.0334 0.5167 0.1260  3 Hg 3.04-3.18, 7 Cd 3.14-3.23
Ga 0.0000 0.0000 0.0000  6 Cd 3.07, 6 Hg 3.35
Hg 0.0000 0.0000 0.5000  6 Cd 3.04
Hg 0.0884 0.1767 0.7731  6 Cd 3.02-3.36, 2 Hg 3.06, 1 Ga 3.35

---

The following is a GGA-PBE calculation of a geometry-optimized Cd4GaHg7 structure, from the Alexandria database.

distance to the lowest polymorph of the same formula	9	meV/atom

a = 4.2134 Å, b = 4.2134 Å, c = 21.0228 Å
α = 90.00°, β = 90.00°, γ = 120.00°
Closest atoms and distances in Å follow each position.
Space group P-3m1 (No. 164)
Inequivalent atoms, fractional coordinates:
Cd 0.3333 0.6667 0.1549  6 Hg 3.00
Cd 0.3333 0.6667 0.4156  6 Hg 3.01-3.05
Ga 0.0000 0.0000 0.0000  6 Hg 2.86
Hg 0.0000 0.0000 0.2387  3 Cd 3.00, 3 Hg 3.07
Hg 0.0000 0.0000 0.5000  6 Cd 3.01
Hg 0.3333 0.6667 0.6719  3 Cd 3.05, 3 Hg 3.07
Hg 0.3333 0.6667 0.9282  3 Ga 2.86, 3 Cd 3.00

---

The following is a GGA-PBE calculation of a geometry-optimized CdGaHg structure, from the Alexandria database.

distance to the lowest polymorph of the same formula	8	meV/atom

a = 3.0319 Å, b = 4.2490 Å, c = 10.5588 Å
α = 90.00°, β = 90.10°, γ = 90.00°
Closest atoms and distances in Å follow each position.
Space group P2_1/m (No. 11)
Inequivalent atoms, fractional coordinates:
Cd 0.2431 0.2500 0.2724  2 Cd 3.03, 5 Ga 3.11-3.12, 4 Hg 3.20
Ga 0.2528 0.2500 0.5670  6 Ga 2.96-3.03, 5 Cd 3.11-3.12
Hg 0.2591 0.2500 0.9032  6 Hg 3.03-3.34, 4 Cd 3.20

---

The following is a GGA-PBE calculation of a geometry-optimized Cd5GaHg structure, from the Alexandria database.

distance to the lowest polymorph of the same formula	9	meV/atom

a = 12.8102 Å, b = 5.4741 Å, c = 10.9104 Å
α = 90.00°, β = 119.29°, γ = 90.00°
Closest atoms and distances in Å follow each position.
Space group C2/c (No. 15)
Inequivalent atoms, fractional coordinates:
Cd 0.0000 0.2446 0.2500  2 Hg 2.73-2.75
Cd 0.1483 0.0034 0.1178  5 Cd 2.97-3.18, 2 Ga 3.20-3.23, 1 Hg 3.23
Cd 0.2413 0.4974 0.5666  1 Ga 2.81, 4 Cd 2.97-3.14
Ga 0.0000 0.5000 0.0000  4 Cd 2.81-3.07, 2 Hg 3.03
Hg 0.0000 0.2572 0.7500  2 Cd 2.73-2.75, 2 Ga 3.03

---

The following is a GGA-PBE calculation of a geometry-optimized Cd3GaHg3 structure, from the Alexandria database.

distance to the lowest polymorph of the same formula	0	meV/atom

a = 14.1713 Å, b = 7.4252 Å, c = 7.8594 Å
α = 90.00°, β = 123.16°, γ = 90.00°
Closest atoms and distances in Å follow each position.
Space group C2/m (No. 12)
Inequivalent atoms, fractional coordinates:
Cd 0.0000 0.2235 0.0000  4 Hg 2.99, 2 Ga 3.16, 3 Cd 3.19-3.32
Cd 0.0000 0.2270 0.5000  4 Hg 2.99, 2 Ga 3.15, 2 Cd 3.20
Cd 0.1243 0.5000 0.8759  1 Ga 2.86, 1 Hg 2.94, 4 Cd 3.19-3.20
Ga 0.1171 0.5000 0.3651  5 Cd 2.86-3.16, 4 Hg 2.94-2.95
Hg 0.1276 0.0000 0.8748  5 Cd 2.94-2.99, 4 Hg 3.27-3.29
Hg 0.2497 0.2473 0.2896  2 Ga 2.94-2.95, 3 Cd 2.99-3.29, 1 Hg 3.27

---

The following is a GGA-PBE calculation of a geometry-optimized Cd2Ga2Hg structure, from the Alexandria database.

distance to the lowest polymorph of the same formula	14	meV/atom

a = 8.8317 Å, b = 8.8317 Å, c = 2.9315 Å
α = 90.00°, β = 90.00°, γ = 90.00°
Closest atoms and distances in Å follow each position.
Space group P4/mbm (No. 127)
Inequivalent atoms, fractional coordinates:
Cd 0.1728 0.3272 0.0000  6 Ga 2.93-3.03, 2 Cd 2.93
Ga 0.1240 0.6240 0.5000  6 Cd 2.93-3.03, 3 Ga 2.93-3.10
Hg 0.0000 0.0000 0.5000  2 Hg 2.93

---

Number 1: calculated formation energy 0.5 eV per formula unit. Number 2: calculated formation energy 0.7 eV per formula unit. Number 3: calculated formation energy 0.9 eV per formula unit. Number 4: calculated formation energy 0.5 eV per formula unit. Number 5: calculated formation energy 0.5 eV per formula unit. Number 6: calculated formation energy 0.2 eV per formula unit. Number 7: calculated formation energy 0.4 eV per formula unit. Number 8: calculated formation energy 0.6 eV per formula unit. Number 9: calculated formation energy 0.5 eV per formula unit. Number 10: calculated formation energy 1.8 eV per formula unit. Number 11: calculated formation energy 0.6 eV per formula unit. Number 12: calculated formation energy 0.5 eV per formula unit. Number 13: calculated formation energy 0.3 eV per formula unit. Number 14: calculated formation energy 0.3 eV per formula unit. Number 15: calculated formation energy 0.7 eV per formula unit. Number 16: calculated formation energy 0.5 eV per formula unit. Number 17: calculated formation energy 0.1 eV per formula unit. Number 18: calculated formation energy 0.6 eV per formula unit. Number 19: calculated formation energy 0.3 eV per formula unit. Number 20: calculated formation energy 0.4 eV per formula unit.